[1]
Material: Ac2ErScSe5
Method: DFT, PBE-GGA
State: optimized geometry

a b c (Å): 4.2139 8.9784 13.2930
angles (deg): 90.00 90.00 103.57
Last column: nearest neighbours and their distance in Å.
Positions (direct):
1 Er 0.7930 0.5860 0.5124  6 Se 2.77-2.91
2 Se 0.4862 0.9724 0.7682  1 Sc 2.59
3 Ac 0.1051 0.2101 0.6862  8 Se 3.08-3.43
4 Sc 0.4714 0.9428 0.4552  5 Se 2.59-2.84
5 Er 0.2070 0.4140 0.0124  6 Se 2.77-2.91
6 Ac 0.1431 0.2862 0.3079  7 Se 3.13-3.31
7 Ac 0.8569 0.7138 0.8079  7 Se 3.13-3.31
8 Se 0.6292 0.2583 0.4991  1 Sc 2.81, 1 Er 2.87
9 Se 0.3708 0.7417 0.9991  1 Sc 2.81, 1 Er 2.87
10 Se 0.2804 0.5609 0.6592  2 Er 2.88, 3 Ac 3.08-3.18
11 Se 0.9458 0.8915 0.5685  2 Sc 2.63, 1 Er 2.77
12 Ac 0.8949 0.7899 0.1862  8 Se 3.08-3.43
13 Se 0.3232 0.6464 0.3672  1 Sc 2.84, 2 Er 2.91
14 Se 0.0542 0.1085 0.0685  2 Sc 2.63, 1 Er 2.77
15 Se 0.5138 0.0276 0.2682  1 Sc 2.59
16 Se 0.6768 0.3536 0.8672  1 Sc 2.84, 2 Er 2.91
17 Sc 0.5286 0.0572 0.9552  5 Se 2.59-2.84
18 Se 0.7196 0.4391 0.1592  2 Er 2.88, 3 Ac 3.08-3.18

Calculated values
- energy (eV per atom) = -5.88
- energy relative to the elements, uncorrected (eV/atom) = -1.823

***

[2]
Material: Al2Fe5SiB2
Method: DFT, PBE-GGA
State: optimized geometry

a b c (Å): 2.7620 8.5550 8.5550
angles (deg): 90.00 90.00 90.00
Last column: nearest neighbours and their distance in Å.
Positions (direct):
1 B 0.0000 0.6249 0.8751  6 Fe 2.03-2.05
2 Al 0.0000 0.6733 0.1733  3 B 2.44-2.58, 10 Fe 2.51-2.70
3 Fe 0.5000 0.7097 0.4286  2 B 2.03
4 Al 0.0000 0.8267 0.6733  3 B 2.44-2.58, 10 Fe 2.51-2.70
5 Fe 0.5000 0.5714 0.7097  2 B 2.03
6 Al 0.0000 0.3267 0.8267  3 B 2.44-2.58, 10 Fe 2.51-2.70
7 B 0.0000 0.8751 0.3751  6 Fe 2.03-2.05
8 Fe 0.5000 0.5000 0.0000  4 B 2.05
9 Fe 0.5000 0.7903 0.9286  2 B 2.03
10 Fe 0.5000 0.4286 0.2903  2 B 2.03
11 Fe 0.5000 0.0000 0.5000  4 B 2.05
12 Al 0.0000 0.1733 0.3267  3 B 2.44-2.58, 10 Fe 2.51-2.70
13 Fe 0.5000 0.2903 0.5714  2 B 2.03
14 B 0.0000 0.1249 0.6249  6 Fe 2.03-2.05
15 Fe 0.5000 0.2097 0.0714  2 B 2.03
16 Si 0.0000 0.0000 0.0000  8 Fe 2.34
17 Fe 0.5000 0.0714 0.7903  2 B 2.03
18 Fe 0.5000 0.9286 0.2097  2 B 2.03
19 B 0.0000 0.3751 0.1249  6 Fe 2.03-2.05
20 Si 0.0000 0.5000 0.5000  8 Fe 2.34

Calculated values
- energy (eV per atom) = -7.24
- energy relative to the elements, uncorrected (eV/atom) = -0.382

***

[3]
Material: LiTl2W
Method: DFT, PBE-GGA
State: optimized geometry

a b c (Å): 5.7048 5.7048 5.7048
angles (deg): 138.82 138.82 59.65
Last column: nearest neighbours and their distance in Å.
Positions (direct):
1 W 0.5000 0.5000 0.0000  4 Tl 2.84
2 Tl 0.0000 0.0000 0.0000  4 W 2.84
3 Tl 0.2500 0.7500 0.5000  4 Li 2.84
4 Li 0.7500 0.2500 0.5000  4 Tl 2.84

Calculated values
- energy (eV per atom) = -4.18
- energy of formation from the pure elements (meV/atom) = 722
- offset from the most stable computed form (eV/f.u.) = 0.96

***

[4]
Material: Pm2P2Ru2C
Method: DFT, PBE-GGA
State: optimized geometry

a b c (Å): 3.9912 5.8849 6.0714
angles (deg): 69.87 70.81 70.18
Last column: nearest neighbours and their distance in Å.
Positions (direct):
1 C 0.0000 0.0000 0.0000  2 Ru 1.90
2 Ru 0.1964 0.6888 0.9184  1 C 1.90
3 Pm 0.4353 0.8188 0.3105  2 C 2.69, 1 P 2.94
4 Pm 0.5647 0.1812 0.6895  2 C 2.69, 1 P 2.94
5 Ru 0.8036 0.3112 0.0816  1 C 1.90
6 P 0.1795 0.3571 0.2839  3 Ru 2.36-2.40
7 P 0.8205 0.6429 0.7161  3 Ru 2.36-2.40

Calculated values
- energy (eV per atom) = -7.75
- energy of formation from the pure elements (meV/atom) = -883

***

[5]
Material: SrSbI
Method: DFT, PBE-GGA
State: optimized geometry

a b c (Å): 4.4639 4.4639 10.5725
angles (deg): 90.00 90.00 90.00
Last column: nearest neighbours and their distance in Å.
Positions (direct):
1 Sb 0.3940 0.6060 0.5000  4 Sb 3.16, 4 Sr 3.47
2 I 0.8946 0.6054 0.8726  4 Sr 3.41
3 I 0.3946 0.1054 0.1274  4 Sr 3.41
4 Sr 0.8944 0.6056 0.2489  4 I 3.41, 4 Sb 3.47
5 Sr 0.3944 0.1056 0.7511  4 I 3.41, 4 Sb 3.47
6 Sb 0.8940 0.1060 0.5000  4 Sb 3.16, 4 Sr 3.47

Calculated values
- energy (eV per atom) = -3.64
- energy relative to the elements, uncorrected (eV/atom) = -1.191
- offset from the most stable computed form (eV/f.u.) = 0.00